1.
A geometry-optimized Ca2MgZn2 structure. Source: Alexandria via LeMat-Bulk, functional PBE.

Summary:
Crystal system ... orthorhombic

```
data_Ca2MgZn2
_space_group_name_H-M_alt 'P 1'
_space_group_IT_number 1
_cell_length_a 3.909
_cell_length_b 4.443
_cell_length_c 7.723
_cell_angle_alpha 73.28
_cell_angle_beta 90.00
_cell_angle_gamma 90.00
loop_
_space_group_symop_operation_xyz
'x,y,z'
loop_
_atom_site_label
_atom_site_fract_x
_atom_site_fract_y
_atom_site_fract_z
Ca1 0.000 0.870 0.261
Ca2 0.000 0.130 0.739
Zn1 0.500 0.299 0.402
Zn2 0.500 0.701 0.598
Mg1 0.500 0.500 0.000
```



2.
A geometry-optimized CaMgZn2 structure. Source: Alexandria via LeMat-Bulk, functional PBE.

Summary:
Crystal system ... tetragonal

```
data_CaMgZn2
_space_group_name_H-M_alt 'P 1'
_space_group_IT_number 1
_cell_length_a 4.723
_cell_length_b 4.723
_cell_length_c 9.984
_cell_angle_alpha 76.32
_cell_angle_beta 76.32
_cell_angle_gamma 90.00
loop_
_space_group_symop_operation_xyz
'x,y,z'
loop_
_atom_site_label
_atom_site_fract_x
_atom_site_fract_y
_atom_site_fract_z
Zn1 0.475 0.125 0.250
Zn2 0.375 0.525 0.750
Zn3 0.875 0.725 0.750
Zn4 0.275 0.625 0.250
Ca1 0.750 0.250 0.500
Ca2 0.000 0.000 0.000
Mg1 0.500 0.500 0.000
Mg2 0.250 0.750 0.500
```



3.
A geometry-optimized Ca2MgZn structure. Source: Alexandria via LeMat-Bulk, functional PBE.

Summary:
Offset from the most stable computed form ... 0.1386 eV per atom
Crystal system ... tetragonal

```
data_Ca2MgZn
_space_group_name_H-M_alt 'P 1'
_space_group_IT_number 1
_cell_length_a 10.066
_cell_length_b 10.066
_cell_length_c 10.066
_cell_angle_alpha 152.28
_cell_angle_beta 152.28
_cell_angle_gamma 39.61
loop_
_space_group_symop_operation_xyz
'x,y,z'
loop_
_atom_site_label
_atom_site_fract_x
_atom_site_fract_y
_atom_site_fract_z
Ca1 0.000 0.500 0.500
Ca2 0.363 0.363 0.000
Ca3 0.637 0.637 0.000
Ca4 0.500 0.000 0.500
Zn1 0.139 0.139 0.000
Zn2 0.861 0.861 0.000
Mg1 0.250 0.750 0.500
Mg2 0.750 0.250 0.500
```



4.
A geometry-optimized Ca2MgZn structure. Source: Alexandria via LeMat-Bulk, functional PBE.

Summary:
Offset from the most stable computed form ... 0.0000 eV per atom
Crystal system ... orthorhombic

```
data_Ca2MgZn
_space_group_name_H-M_alt 'P 1'
_space_group_IT_number 1
_cell_length_a 6.199
_cell_length_b 6.199
_cell_length_c 5.960
_cell_angle_alpha 90.00
_cell_angle_beta 90.00
_cell_angle_gamma 79.36
loop_
_space_group_symop_operation_xyz
'x,y,z'
loop_
_atom_site_label
_atom_site_fract_x
_atom_site_fract_y
_atom_site_fract_z
Ca1 0.461 0.174 0.250
Ca2 0.826 0.539 0.250
Ca3 0.539 0.826 0.750
Ca4 0.174 0.461 0.750
Zn1 0.309 0.691 0.250
Zn2 0.691 0.309 0.750
Mg1 0.000 0.000 0.500
Mg2 0.000 0.000 0.000
```



5.
A geometry-optimized CaMgZn17 structure. Source: Alexandria via LeMat-Bulk, functional PBE.

Summary:
Crystal system ... trigonal

```
data_CaMgZn17
_space_group_name_H-M_alt 'P 1'
_space_group_IT_number 1
_cell_length_a 6.813
_cell_length_b 6.813
_cell_length_c 6.813
_cell_angle_alpha 83.06
_cell_angle_beta 83.06
_cell_angle_gamma 83.06
loop_
_space_group_symop_operation_xyz
'x,y,z'
loop_
_atom_site_label
_atom_site_fract_x
_atom_site_fract_y
_atom_site_fract_z
Zn1 0.348 0.348 0.847
Zn2 0.003 0.297 0.694
Zn3 0.694 0.297 0.003
Zn4 0.990 0.505 0.990
Zn5 0.112 0.112 0.112
Zn6 0.645 0.645 0.166
Zn7 0.847 0.348 0.348
Zn8 0.348 0.847 0.348
Zn9 0.003 0.694 0.297
Zn10 0.990 0.990 0.505
Zn11 0.694 0.003 0.297
Zn12 0.297 0.694 0.003
Zn13 0.166 0.645 0.645
Zn14 0.902 0.902 0.902
Zn15 0.645 0.166 0.645
Zn16 0.505 0.990 0.990
Zn17 0.297 0.003 0.694
Mg1 0.356 0.356 0.356
Ca1 0.659 0.659 0.659
```



6.
A geometry-optimized Ca6Mg5Zn structure. Source: Alexandria via LeMat-Bulk, functional PBE.

Summary:
Crystal system ... orthorhombic

```
data_Ca6Mg5Zn
_space_group_name_H-M_alt 'P 1'
_space_group_IT_number 1
_cell_length_a 5.544
_cell_length_b 7.841
_cell_length_c 8.736
_cell_angle_alpha 90.00
_cell_angle_beta 71.50
_cell_angle_gamma 90.00
loop_
_space_group_symop_operation_xyz
'x,y,z'
loop_
_atom_site_label
_atom_site_fract_x
_atom_site_fract_y
_atom_site_fract_z
Zn1 0.000 0.000 0.000
Mg1 0.669 0.500 0.662
Mg2 0.674 0.000 0.651
Mg3 0.000 0.500 0.000
Mg4 0.331 0.500 0.338
Mg5 0.326 0.000 0.349
Ca1 0.500 0.763 0.000
Ca2 0.160 0.244 0.680
Ca3 0.840 0.244 0.320
Ca4 0.160 0.756 0.680
Ca5 0.840 0.756 0.320
Ca6 0.500 0.237 0.000
```



7.
A geometry-optimized Ca2MgZn structure. Source: Alexandria via LeMat-Bulk, functional PBE.

Summary:
Offset from the most stable computed form ... 0.0393 eV per atom
Crystal system ... orthorhombic

```
data_Ca2MgZn
_space_group_name_H-M_alt 'P 1'
_space_group_IT_number 1
_cell_length_a 6.521
_cell_length_b 6.521
_cell_length_c 6.521
_cell_angle_alpha 147.57
_cell_angle_beta 130.10
_cell_angle_gamma 60.77
loop_
_space_group_symop_operation_xyz
'x,y,z'
loop_
_atom_site_label
_atom_site_fract_x
_atom_site_fract_y
_atom_site_fract_z
Ca1 0.038 0.038 0.000
Ca2 0.740 0.240 0.500
Mg1 0.457 0.457 0.000
Zn1 0.266 0.766 0.500
```



8.
A geometry-optimized Ca2MgZn2 structure. Source: Alexandria via LeMat-Bulk, functional PBE.

Summary:
Crystal system ... trigonal

```
data_Ca2MgZn2
_space_group_name_H-M_alt 'P 1'
_space_group_IT_number 1
_cell_length_a 4.741
_cell_length_b 4.741
_cell_length_c 6.784
_cell_angle_alpha 90.00
_cell_angle_beta 90.00
_cell_angle_gamma 120.00
loop_
_space_group_symop_operation_xyz
'x,y,z'
loop_
_atom_site_label
_atom_site_fract_x
_atom_site_fract_y
_atom_site_fract_z
Ca1 0.333 0.667 0.325
Ca2 0.667 0.333 0.675
Zn1 0.333 0.667 0.874
Zn2 0.667 0.333 0.126
Mg1 0.000 0.000 0.000
```



9.
A geometry-optimized Ca3Mg2Zn9 structure. Source: Alexandria via LeMat-Bulk, functional PBE.

Summary:
Crystal system ... orthorhombic

```
data_Ca3Mg2Zn9
_space_group_name_H-M_alt 'P 1'
_space_group_IT_number 1
_cell_length_a 4.504
_cell_length_b 8.512
_cell_length_c 8.512
_cell_angle_alpha 63.84
_cell_angle_beta 74.66
_cell_angle_gamma 74.66
loop_
_space_group_symop_operation_xyz
'x,y,z'
loop_
_atom_site_label
_atom_site_fract_x
_atom_site_fract_y
_atom_site_fract_z
Ca1 0.289 0.711 0.711
Ca2 0.711 0.289 0.289
Ca3 0.000 0.000 0.000
Zn1 0.668 0.688 0.977
Zn2 0.863 0.424 0.849
Zn3 0.332 0.312 0.023
Zn4 0.137 0.151 0.576
Zn5 0.668 0.977 0.688
Zn6 0.863 0.849 0.424
Zn7 0.332 0.023 0.312
Zn8 0.137 0.576 0.151
Zn9 0.000 0.500 0.500
Mg1 0.500 0.689 0.311
Mg2 0.500 0.311 0.689
```



10.
A geometry-optimized Ca2MgZn2 structure. Source: Alexandria via LeMat-Bulk, functional PBE.

Summary:
Crystal system ... tetragonal

```
data_Ca2MgZn2
_space_group_name_H-M_alt 'P 1'
_space_group_IT_number 1
_cell_length_a 4.860
_cell_length_b 4.860
_cell_length_c 11.491
_cell_angle_alpha 90.00
_cell_angle_beta 90.00
_cell_angle_gamma 90.00
loop_
_space_group_symop_operation_xyz
'x,y,z'
loop_
_atom_site_label
_atom_site_fract_x
_atom_site_fract_y
_atom_site_fract_z
Mg1 0.000 0.500 0.394
Mg2 0.500 0.000 0.606
Ca1 0.000 0.500 0.705
Ca2 0.500 0.000 0.295
Ca3 0.000 0.000 0.000
Ca4 0.500 0.500 0.000
Zn1 0.000 0.500 0.165
Zn2 0.000 0.000 0.500
Zn3 0.500 0.000 0.835
Zn4 0.500 0.500 0.500
```



11.
A geometry-optimized Ca2MgZn structure. Source: Alexandria via LeMat-Bulk, functional PBE.

Summary:
Offset from the most stable computed form ... 0.3764 eV per atom
Crystal system ... hexagonal

```
data_Ca2MgZn
_space_group_name_H-M_alt 'P 1'
_space_group_IT_number 1
_cell_length_a 5.536
_cell_length_b 5.536
_cell_length_c 9.589
_cell_angle_alpha 90.00
_cell_angle_beta 90.00
_cell_angle_gamma 120.00
loop_
_space_group_symop_operation_xyz
'x,y,z'
loop_
_atom_site_label
_atom_site_fract_x
_atom_site_fract_y
_atom_site_fract_z
Zn1 0.667 0.333 0.250
Zn2 0.333 0.667 0.750
Ca1 0.333 0.667 0.080
Ca2 0.667 0.333 0.580
Ca3 0.333 0.667 0.420
Ca4 0.667 0.333 0.920
Mg1 0.000 0.000 0.000
Mg2 0.000 0.000 0.500
```



12.
A geometry-optimized CaMgZn structure. Source: Alexandria via LeMat-Bulk, functional PBE.

Summary:
Crystal system ... hexagonal

```
data_CaMgZn
_space_group_name_H-M_alt 'P 1'
_space_group_IT_number 1
_cell_length_a 5.213
_cell_length_b 5.213
_cell_length_c 6.238
_cell_angle_alpha 90.00
_cell_angle_beta 90.00
_cell_angle_gamma 120.00
loop_
_space_group_symop_operation_xyz
'x,y,z'
loop_
_atom_site_label
_atom_site_fract_x
_atom_site_fract_y
_atom_site_fract_z
Mg1 0.667 0.333 0.750
Mg2 0.333 0.667 0.250
Ca1 0.667 0.333 0.250
Ca2 0.333 0.667 0.750
Zn1 0.000 0.000 0.500
Zn2 0.000 0.000 0.000
```



Short version: ΔE_f = -0.2142; 0.0791; -0.0242; -0.1628; -0.0922; -0.1004; -0.1235; -0.1330; -0.2463; -0.0680; 0.2137; 0.0505 eV/atom, in the order given.